SrPu4As5 | PBE | relaxed

Cell: 4.1927 5.9226 21.1120 Å, 90.00 90.00 90.00°
Space group Immm (No. 71)
Asymmetric unit:
1 Sr 0.0000 0.0000 0.0000 [2 per cell]
2 Pu 0.0000 0.0000 0.2041 [4 per cell]
3 Pu 0.0000 0.0000 0.4013 [4 per cell]
4 As 0.0000 0.5000 0.0000 [2 per cell]
5 As 0.0000 0.5000 0.1976 [4 per cell]
6 As 0.0000 0.5000 0.3885 [4 per cell]

Properties
Energy of formation: -939 kJ/mol of formula units
Crystal system: orthorhombic